# GGA+U Mn2FeCl2O2, optimized geometry
# E	-0.2301	hartree per atom
# total magnetic moment	28.0	μB per cell
data_Mn2FeCl2O2
_chemical_formula_sum 'Mn4 Fe2 Cl4 O4'
_cell_length_a 12.247
_cell_length_b 3.562
_cell_length_c 6.151
_cell_angle_alpha 90.00
_cell_angle_beta 118.81
_cell_angle_gamma 90.00
_symmetry_space_group_name_H-M 'C 1 2/m 1'
_symmetry_Int_Tables_number 12
loop_
_symmetry_equiv_pos_as_xyz
'x,y,z'
'-x,-y,-z'
'-x,y,-z'
'x,-y,z'
'x+1/2,y+1/2,z'
'-x+1/2,-y+1/2,-z'
'-x+1/2,y+1/2,-z'
'x+1/2,-y+1/2,z'
loop_
_atom_site_label
_atom_site_fract_x
_atom_site_fract_y
_atom_site_fract_z
Mn1 0.238 0.000 0.192
Fe1 0.000 0.000 0.500
Cl1 0.103 0.500 0.311
O1 0.162 0.000 0.801